1.
UPaPd | PBE-GGA | relaxed

Geometry as CIF:
```
data_UPaPd
_chemical_formula_sum 'U4 Pa4 Pd4'
_cell_length_a 3.794
_cell_length_b 13.360
_cell_length_c 4.885
_cell_angle_alpha 90.00
_cell_angle_beta 90.00
_cell_angle_gamma 90.00
_space_group_name_H-M_alt 'C m c m'
_space_group_IT_number 63
_space_group_name_Hall '-C 2c 2'
loop_
_atom_site_label
_atom_site_fract_x
_atom_site_fract_y
_atom_site_fract_z
_atom_site_occupancy
U1 0.000 0.240 0.250 1
Pa1 0.000 0.402 0.750 1
Pd1 0.000 0.078 0.750 1
```

## Properties
Formation energy from the elements (meV per atom): -247
Excess energy over the best structure of this formula in the dataset (meV/atom): 0.0
DFT total energy (eV/atom): -8.91



2.
UPaPd14 | PBE-GGA | relaxed

Geometry as CIF:
```
data_UPaPd14
_chemical_formula_sum 'U1 Pa1 Pd14'
_cell_length_a 5.824
_cell_length_b 5.824
_cell_length_c 7.797
_cell_angle_alpha 90.00
_cell_angle_beta 90.00
_cell_angle_gamma 90.00
_space_group_name_H-M_alt 'P 4/m m m'
_space_group_IT_number 123
_space_group_name_Hall '-P 4 2'
loop_
_atom_site_label
_atom_site_fract_x
_atom_site_fract_y
_atom_site_fract_z
_atom_site_occupancy
U1 0.000 0.000 0.000 1
Pa1 0.500 0.500 0.000 1
Pd1 0.000 0.000 0.500 1
Pd2 0.000 0.500 0.000 1
Pd3 0.000 0.500 0.500 1
Pd4 0.249 0.249 0.250 1
Pd5 0.500 0.500 0.500 1
```

## Properties
Formation energy from the elements (meV per atom): -414
DFT total energy (eV/atom): -6.26



3.
Pa2VPd | PBE-GGA | relaxed

Geometry as CIF:
```
data_Pa2VPd
_chemical_formula_sum 'Pa8 V4 Pd4'
_cell_length_a 6.914
_cell_length_b 6.914
_cell_length_c 6.914
_cell_angle_alpha 90.00
_cell_angle_beta 90.00
_cell_angle_gamma 90.00
_space_group_name_H-M_alt 'F m -3 m'
_space_group_IT_number 225
_space_group_name_Hall '-F 4 2 3'
loop_
_atom_site_label
_atom_site_fract_x
_atom_site_fract_y
_atom_site_fract_z
_atom_site_occupancy
Pa1 0.250 0.250 0.250 1
V1 0.000 0.000 0.000 1
Pd1 0.000 0.000 0.500 1
```

## Properties
Formation energy from the elements (meV per atom): 65
Excess energy over the best structure of this formula in the dataset (meV/atom): 8.6
DFT total energy (eV/atom): -8.26



4.
PaVPd | PBE-GGA | relaxed

Geometry as CIF:
```
data_PaVPd
_chemical_formula_sum 'Pa2 V2 Pd2'
_cell_length_a 2.956
_cell_length_b 2.956
_cell_length_c 12.408
_cell_angle_alpha 90.00
_cell_angle_beta 90.00
_cell_angle_gamma 90.00
_space_group_name_H-M_alt 'I 4 m m'
_space_group_IT_number 107
_space_group_name_Hall 'I 4 -2'
loop_
_atom_site_label
_atom_site_fract_x
_atom_site_fract_y
_atom_site_fract_z
_atom_site_occupancy
Pa1 0.000 0.000 0.000 1
V1 0.000 0.000 0.326 1
Pd1 0.000 0.000 0.695 1
```

## Properties
Formation energy from the elements (meV per atom): -109
Excess energy over the best structure of this formula in the dataset (meV/atom): 0.0
DFT total energy (eV/atom): -8.05



5.
Pa2VPd | PBE-GGA | relaxed

Geometry as CIF:
```
data_Pa2VPd
_chemical_formula_sum 'Pa2 V1 Pd1'
_cell_length_a 4.325
_cell_length_b 4.325
_cell_length_c 4.361
_cell_angle_alpha 90.00
_cell_angle_beta 90.00
_cell_angle_gamma 90.00
_space_group_name_H-M_alt 'P 4/m m m'
_space_group_IT_number 123
_space_group_name_Hall '-P 4 2'
loop_
_atom_site_label
_atom_site_fract_x
_atom_site_fract_y
_atom_site_fract_z
_atom_site_occupancy
Pa1 0.000 0.500 0.000 1
V1 0.000 0.000 0.500 1
Pd1 0.500 0.500 0.500 1
```

## Properties
Formation energy from the elements (meV per atom): 57
Excess energy over the best structure of this formula in the dataset (meV/atom): 0.0
DFT total energy (eV/atom): -8.27



6.
PaVPd | PBE-GGA | relaxed

Geometry as CIF:
```
data_PaVPd
_chemical_formula_sum 'Pa6 V6 Pd6'
_cell_length_a 4.6199
_cell_length_b 4.6199
_cell_length_c 18.1272
_cell_angle_alpha 90.00
_cell_angle_beta 90.00
_cell_angle_gamma 120.00
_space_group_name_H-M_alt 'R -3 m'
_space_group_IT_number 166
_space_group_name_Hall '-R 3 2"'
loop_
_atom_site_label
_atom_site_fract_x
_atom_site_fract_y
_atom_site_fract_z
_atom_site_occupancy
Pa1 0.0000 0.0000 0.1020 1
V1 0.0000 0.0000 0.4363 1
Pd1 0.0000 0.0000 0.2940 1
```

## Properties
Formation energy from the elements (meV per atom): -75
Excess energy over the best structure of this formula in the dataset (meV/atom): 34.5
DFT total energy (eV/atom): -8.01



What did the fifth record say?
Pa2VPd | PBE-GGA | relaxed

Geometry as CIF:
```
data_Pa2VPd
_chemical_formula_sum 'Pa2 V1 Pd1'
_cell_length_a 4.325
_cell_length_b 4.325
_cell_length_c 4.361
_cell_angle_alpha 90.00
_cell_angle_beta 90.00
_cell_angle_gamma 90.00
_space_group_name_H-M_alt 'P 4/m m m'
_space_group_IT_number 123
_space_group_name_Hall '-P 4 2'
loop_
_atom_site_label
_atom_site_fract_x
_atom_site_fract_y
_atom_site_fract_z
_atom_site_occupancy
Pa1 0.000 0.500 0.000 1
V1 0.000 0.000 0.500 1
Pd1 0.500 0.500 0.500 1
```

## Properties
Formation energy from the elements (meV per atom): 57
Excess energy over the best structure of this formula in the dataset (meV/atom): 0.0
DFT total energy (eV/atom): -8.27



> The highest formation energy from the elements belongs to which entry?

number 3